(1)
Entry from the Alexandria database: crystalline RbBaGe at its relaxed geometry (GGA-PBE).

Results
E_form ... -24 kJ per mole of atoms
E_tot ... -2.7560 eV per atom

a = 4.6772 Å, b = 4.6774 Å, c = 17.2947 Å
α = 89.20°, β = 89.50°, γ = 60.02°
With the nearest neighbours (Å) after each atom.
Space group P-1 (No. 2)
Inequivalent atoms, fractional coordinates:
Rb1 0.1710 0.1815 0.1250 (multiplicity 2)  9 Rb 4.68-5.21, 3 Ba 5.03-5.04
Ba1 0.4990 0.4936 0.6289 (multiplicity 2)  6 Ge 3.50-3.51
Ge1 0.1667 0.1667 0.4995 (multiplicity 2)  3 Ge 2.70


(2)
Entry from the Alexandria database: crystalline ZrCo2Sn2 at its relaxed geometry (GGA-PBE).

Results
E_form ... -29 kJ per mole of atoms
E_tot ... -6.4540 eV per atom
Relative energy among the computed polymorphs ... 0 meV/atom

a = 4.3513 Å, b = 4.4105 Å, c = 9.3733 Å
α = 90.00°, β = 90.00°, γ = 90.00°
With the nearest neighbours (Å) after each atom.
Space group Pmmn (No. 59, origin choice 2)
Inequivalent atoms, fractional coordinates:
Zr1 0.2500 0.2500 0.1721 (multiplicity 2)  6 Co 2.65-2.74
Co1 0.2500 0.7500 0.3284 (multiplicity 2)  6 Sn 2.64-2.72, 2 Zr 2.65
Co2 0.2500 0.7500 0.9987 (multiplicity 2)  4 Sn 2.70-2.71, 4 Zr 2.70-2.74
Sn1 0.2500 0.2500 0.4967 (multiplicity 2)  4 Co 2.71-2.72
Sn2 0.2500 0.2500 0.8309 (multiplicity 2)  6 Co 2.64-2.71


(3)
Entry from the Alexandria database: crystalline Ni2PtBr at its relaxed geometry (GGA-PBE).

Results
E_tot ... -4.3125 eV per atom
Relative energy among the computed polymorphs ... 298 meV/atom

a = 2.8727 Å, b = 4.7525 Å, c = 9.4396 Å
α = 90.00°, β = 90.00°, γ = 90.00°
With the nearest neighbours (Å) after each atom.
Space group Cmm2 (No. 35)
Inequivalent atoms, fractional coordinates:
Ni1 0.0000 0.0000 0.0000 (multiplicity 2)  2 Ni 2.37, 2 Pt 2.56
Ni2 0.0000 0.5000 0.1992 (multiplicity 2)  2 Ni 2.37, 2 Br 2.53
Pt1 0.0000 0.5000 0.7754 (multiplicity 2)  2 Ni 2.56, 4 Pt 2.78
Br1 0.0000 0.0000 0.4203 (multiplicity 2)  2 Ni 2.53, 4 Br 2.78


Repeat the third record exactly.
Entry from the Alexandria database: crystalline Ni2PtBr at its relaxed geometry (GGA-PBE).

Results
E_tot ... -4.3125 eV per atom
Relative energy among the computed polymorphs ... 298 meV/atom

a = 2.8727 Å, b = 4.7525 Å, c = 9.4396 Å
α = 90.00°, β = 90.00°, γ = 90.00°
With the nearest neighbours (Å) after each atom.
Space group Cmm2 (No. 35)
Inequivalent atoms, fractional coordinates:
Ni1 0.0000 0.0000 0.0000 (multiplicity 2)  2 Ni 2.37, 2 Pt 2.56
Ni2 0.0000 0.5000 0.1992 (multiplicity 2)  2 Ni 2.37, 2 Br 2.53
Pt1 0.0000 0.5000 0.7754 (multiplicity 2)  2 Ni 2.56, 4 Pt 2.78
Br1 0.0000 0.0000 0.4203 (multiplicity 2)  2 Ni 2.53, 4 Br 2.78


- Among the records above, which one has the highest E_tot?
  RbBaGe


- Which formula does entry 2 have?
  ZrCo2Sn2


- Number 2 is which compound?
  ZrCo2Sn2